[1]
Computed, not measured: a relaxed NaTeI3 crystal at the PBE level of DFT.

The total energy is -8.51 eV/cell. The volume comes out at 189.6 Å³/f.u. The calculation puts the spin magnetization at 0.0001 μB per atom. The uncorrected formation energy comes out at 0.60 eV per formula unit. Its space-group type is Pm-3m.

Lattice parameters (Å, degrees): 5.7448 5.7448 5.7448 90.00 90.00 90.00
Last column: nearest neighbours and their distance in Å.
Atoms (fractional coordinates):
1 Na 0.0000 0.0000 0.0000  6 I 2.87
2 Te 0.5000 0.5000 0.5000  12 I 4.06
3 I 0.0000 0.0000 0.5000  2 Na 2.87
4 I 0.0000 0.5000 0.0000  2 Na 2.87
5 I 0.5000 0.0000 0.0000  2 Na 2.87

[2]
Computed, not measured: a relaxed Ta2ZnB2 crystal at the PBE level of DFT.

The total energy is -80.57 eV/cell. The volume comes out at 59.1 Å³/f.u. Its formation enthalpy at 0 K is -390.3 meV per atom. The calculation puts the spin magnetization at 0.0000 μB per atom. Its space-group type is P4/mbm.

Lattice parameters (Å, degrees): 5.9177 5.9177 3.3765 90.00 90.00 90.00
Last column: nearest neighbours and their distance in Å.
Atoms (fractional coordinates):
1 Ta 0.1804 0.3196 0.0000  6 B 2.43-2.47
2 Ta 0.3196 0.8196 0.0000  6 B 2.43-2.47
3 Ta 0.6804 0.1804 0.0000  6 B 2.43-2.47
4 Ta 0.8196 0.6804 0.0000  6 B 2.43-2.47
5 Zn 0.0000 0.0000 0.5000  4 B 2.42
6 Zn 0.5000 0.5000 0.5000  4 B 2.42
7 B 0.1046 0.6046 0.5000  1 B 1.75
8 B 0.3954 0.1046 0.5000  1 B 1.75
9 B 0.6046 0.8954 0.5000  1 B 1.75
10 B 0.8954 0.3954 0.5000  1 B 1.75